No. 1
Material: Pr4InAg2Hg
Method: DFT, PBE
State: optimized geometry

POSCAR file:
```
Pr4InAg2Hg
1.0
-2.826 4.131 2.094
-5.335 -0.513 0.839
-1.138 -1.859 9.159
Ag Hg Pr In
2 1 4 1
Cartesian
-2.343 0.475 2.928
-6.957 1.283 9.164
-4.650 0.879 6.046
-7.560 2.452 6.044
-4.067 -0.250 9.062
-5.233 2.009 3.031
-1.740 -0.694 6.048
0.000 0.000 0.000
```

Output
As for the symmetry: R-3m.

---

No. 2
Material: InAg2HgPt
Method: DFT, PBE
State: optimized geometry

POSCAR file:
```
InAg2HgPt
1.0
5.199 0.000 0.000
0.000 5.154 0.000
0.000 0.000 5.199
Ag Hg In Pt
2 1 1 1
Cartesian
0.000 0.000 2.599
2.599 0.000 0.000
0.000 0.000 0.000
2.599 2.577 2.599
0.000 2.577 0.000
```

Output
As for the symmetry: P4/mmm.

---

No. 3
Material: InAgHgPt
Method: DFT, PBE
State: optimized geometry

POSCAR file:
```
InAgHgPt
1.0
4.757 0.000 0.000
2.378 4.120 0.000
2.378 1.373 3.884
Pt Hg Ag In
1 1 1 1
Cartesian
7.135 4.120 2.913
0.000 0.000 0.000
2.378 1.373 0.971
4.757 2.746 1.942
```

Output
As for the symmetry: F-43m.

---

No. 4
Material: RbIn2AgHg8
Method: DFT, PBE
State: optimized geometry

POSCAR file:
```
RbIn2AgHg8
1.0
6.337 -0.790 0.523
2.223 5.987 0.523
1.516 0.921 9.269
Hg Rb In Ag
8 1 2 1
Cartesian
3.905 4.442 2.191
6.269 3.806 5.891
3.807 2.311 4.423
5.742 1.416 2.191
4.334 4.702 8.123
7.487 4.546 8.934
2.589 1.572 1.381
6.171 1.676 8.123
0.758 0.460 4.635
6.817 4.139 2.999
3.259 1.979 7.315
0.000 0.000 0.000
```

Output
As for the symmetry: C2/m.

---

No. 5
Material: RbIn2AgHg
Method: DFT, PBE
State: optimized geometry

POSCAR file:
```
RbIn2AgHg
1.0
5.477 0.000 0.000
0.000 5.477 0.000
0.000 0.000 5.655
In Ag Rb Hg
2 1 1 1
Cartesian
0.000 2.738 0.000
2.738 0.000 0.000
0.000 0.000 0.000
2.738 2.738 2.828
0.000 0.000 2.828
```

Output
As for the symmetry: P4/mmm.

---

No. 6
Material: Rb2InAgHg6
Method: DFT, PBE
State: optimized geometry

POSCAR file:
```
Rb2InAgHg6
1.0
-7.988 0.910 5.607
-3.329 -3.635 -4.168
-4.214 -5.825 3.466
Hg Rb In Ag
6 2 1 1
Cartesian
-2.880 -0.708 0.373
-12.651 -7.842 4.531
-4.515 -2.492 -1.668
-3.838 -3.658 1.267
-11.692 -4.893 3.636
-11.015 -6.059 6.572
-8.602 -3.206 4.691
-6.929 -5.345 0.213
0.000 0.000 0.000
-5.658 -1.363 0.719
```

Output
As for the symmetry: P-1.

---

Result set for energy: -0.141, -0.084, -0.112, -0.037, -0.069, -0.039 hartree per atom, one per record in the order listed.
Result set for calculated formation energy: -0.361, 0.683, -0.071, -0.033, 0.054, -0.117 eV per atom, one per record in the order listed.